(1)
Compound: CuAgRh2
Source: the Alexandria database
Functional: PBE
Structure: relaxed

Output
Formation energy in eV per atom: 0.363
D(E_F) in states/eV/f.u.: 3.05
Relative energy among the computed polymorphs in meV per atom: 252
Total DFT energy (no corrections) in eV/atom: -5.05
Total magnetic moment in μB per atom: 0.5056

Cell lengths 4.383, 4.383, 4.383 Å; angles 60.00, 60.00, 60.00 degrees
Each line ends with the local moment (μB).
Positions (direct):
1 Rh 0.250 0.250 0.250  0.91
2 Rh 0.750 0.750 0.750  0.91
3 Cu 0.000 0.000 0.000  0.17
4 Ag 0.500 0.500 0.500  0.09

(2)
Compound: Cu2NiPd9
Source: the Alexandria database
Functional: PBE
Structure: relaxed

Output
Formation energy in eV per atom: -0.028
D(E_F) in states/eV/f.u.: 17.79
Total DFT energy (no corrections) in eV/atom: -5.09
Total magnetic moment in μB per atom: 0.1147

Cell lengths 3.878, 3.878, 11.642 Å; angles 90.00, 90.00, 90.00 degrees
Each line ends with the local moment (μB).
Positions (direct):
1 Cu 0.000 0.000 0.333  -0.01
2 Cu 0.000 0.000 0.667  -0.01
3 Ni 0.000 0.000 0.000  0.75
4 Pd 0.500 0.500 0.000  0.15
5 Pd 0.500 0.500 0.333  0.04
6 Pd 0.500 0.500 0.667  0.04
7 Pd 0.500 0.000 0.165  0.12
8 Pd 0.500 0.000 0.500  0.02
9 Pd 0.500 0.000 0.835  0.12
10 Pd 0.000 0.500 0.165  0.12
11 Pd 0.000 0.500 0.500  0.02
12 Pd 0.000 0.500 0.835  0.12

Which value of formation energy does entry 1 give? 0.363 eV per atom

What is the formula in the first record? CuAgRh2